First-principles (PBE-GGA) data for a geometry-optimized Li4HoAg2 structure, as listed in the Alexandria database.

Properties
Calculated density ... 4.8 Mg/m³
Energy ... -18.9 eV/cell
Fermi-level density of states ... 0.449 states/eV per atom

Cell and atoms, written as POSCAR:
```
Li4HoAg2
1.0
1.961 -8.944 0.000
1.961 8.944 0.000
0.000 0.000 3.996
Li Ho Ag
4 1 2
direct
0.180 0.820 0.000
0.316 0.684 0.500
0.684 0.316 0.500
0.820 0.180 0.000
0.500 0.500 0.000
0.079 0.921 0.500
0.921 0.079 0.500
```